Record 1
Here is a relaxed structure of CaZnGa4Pd2 from the Alexandria database. Energies are from PBE.

Summary:
- DFT formation energy (eV per atom) = -0.4171

Lattice parameters (Å, degrees): 4.347 4.347 9.582 76.89 76.89 60.00
Sites, in units of the cell vectors:
Ga1 0.118 0.118 0.646
Ga2 0.400 0.400 0.800
Ga3 0.882 0.882 0.354
Ga4 0.600 0.600 0.200
Ca1 0.000 0.000 0.000
Zn1 0.500 0.500 0.500
Pd1 0.783 0.783 0.651
Pd2 0.217 0.217 0.349

Record 2
Here is a relaxed structure of Gd6Y from the Alexandria database. Energies are from PBE.

Summary:
- DFT formation energy (eV per atom) = 1.3048

Lattice parameters (Å, degrees): 6.905 6.905 6.905 109.47 109.47 109.47
Site moments in Bohr magnetons follow the coordinates.
Sites, in units of the cell vectors:
Gd1 0.500 0.250 0.750  7.10
Gd2 0.500 0.750 0.250  7.10
Gd3 0.750 0.500 0.250  7.10
Gd4 0.750 0.250 0.500  7.10
Gd5 0.250 0.750 0.500  7.10
Gd6 0.250 0.500 0.750  7.10
Y1 0.000 0.000 0.000  -0.12

Record 3
Here is a relaxed structure of SrPrCuPt from the Alexandria database. Energies are from PBE.

Summary:
- DFT formation energy (eV per atom) = -0.4746

Lattice parameters (Å, degrees): 5.173 5.173 5.173 60.00 60.00 60.00
Sites, in units of the cell vectors:
Pt1 0.750 0.750 0.750
Pr1 0.500 0.500 0.500
Sr1 0.000 0.000 0.000
Cu1 0.250 0.250 0.250

Record 4
Here is a relaxed structure of Cs3Hg2AuF9 from the Alexandria database. Energies are from PBE.

Summary:
- raw formation energy (meV per atom) = -1870.8

Lattice parameters (Å, degrees): 6.557 6.557 8.044 90.00 90.00 120.00
Site moments in Bohr magnetons follow the coordinates.
Sites, in units of the cell vectors:
F1 0.165 0.331 0.337  0.06
F2 0.669 0.835 0.337  0.06
F3 0.165 0.835 0.337  0.06
F4 0.331 0.165 0.663  0.06
F5 0.835 0.669 0.663  0.06
F6 0.000 0.500 0.000  0.01
F7 0.835 0.165 0.663  0.06
F8 0.500 0.500 0.000  0.01
F9 0.500 0.000 0.000  0.01
Hg1 0.333 0.667 0.170  0.02
Hg2 0.667 0.333 0.830  0.02
Cs1 0.000 0.000 0.000  0.00
Cs2 0.333 0.667 0.665  0.00
Cs3 0.667 0.333 0.335  0.00
Au1 0.000 0.000 0.500  0.57

Record 5
Here is a relaxed structure of PrAgRh from the Alexandria database. Energies are from PBE.

Summary:
- energy above the lowest structure with this stoichiometry (meV/atom) = 200
- DFT formation energy (eV per atom) = -0.2155

Lattice parameters (Å, degrees): 5.395 8.042 7.600 83.16 69.21 70.40
Sites, in units of the cell vectors:
Rh1 0.361 0.626 0.652
Rh2 0.987 0.374 0.652
Rh3 0.013 0.626 0.348
Rh4 0.639 0.374 0.348
Pr1 0.507 0.264 0.721
Pr2 0.493 0.736 0.279
Pr3 0.771 0.736 0.721
Pr4 0.229 0.264 0.279
Ag1 0.174 0.000 0.651
Ag2 0.900 0.201 0.000
Ag3 0.826 0.000 0.349
Ag4 0.100 0.799 0.000

Record 6
Here is a relaxed structure of Tb2Sm7 from the Alexandria database. Energies are from PBE.

Summary:
- DFT formation energy (eV per atom) = 0.0142

Lattice parameters (Å, degrees): 6.260 6.260 8.835 90.00 90.00 120.00
Sites, in units of the cell vectors:
Sm1 0.000 0.000 0.000
Sm2 0.334 0.000 0.668
Sm3 0.334 0.334 0.332
Sm4 0.666 0.000 0.332
Sm5 0.000 0.666 0.332
Sm6 0.666 0.666 0.668
Sm7 0.000 0.334 0.668
Tb1 0.667 0.333 0.000
Tb2 0.333 0.667 0.000

Record 7
Here is a relaxed structure of RbU4Au3Se12 from the Alexandria database. Energies are from PBE.

Summary:
- raw formation energy (meV per atom) = -712.4

Lattice parameters (Å, degrees): 8.973 8.973 8.973 109.47 109.47 109.47
Site moments in Bohr magnetons follow the coordinates.
Sites, in units of the cell vectors:
Au1 0.000 0.500 0.500  -0.05
Au2 0.500 0.000 0.500  -0.05
Au3 0.500 0.500 0.000  -0.05
Se1 0.136 0.311 0.825  -0.07
Se2 0.175 0.864 0.689  -0.07
Se3 0.689 0.175 0.864  -0.07
Se4 0.825 0.136 0.311  -0.07
Se5 0.486 0.311 0.175  -0.07
Se6 0.175 0.486 0.311  -0.07
Se7 0.311 0.825 0.136  -0.07
Se8 0.825 0.514 0.689  -0.07
Se9 0.864 0.689 0.175  -0.07
Se10 0.514 0.689 0.825  -0.07
Se11 0.311 0.175 0.486  -0.07
Se12 0.689 0.825 0.514  -0.07
U1 0.500 0.000 0.000  1.30
U2 0.500 0.500 0.500  1.30
U3 0.000 0.500 0.000  1.30
U4 0.000 0.000 0.500  1.30
Rb1 0.000 0.000 0.000  0.00

Record 8
Here is a relaxed structure of AlZn2Ni from the Alexandria database. Energies are from PBE.

Summary:
- DFT formation energy (eV per atom) = -0.1205

Lattice parameters (Å, degrees): 8.507 8.507 8.507 18.81 18.81 18.81
Sites, in units of the cell vectors:
Ni1 0.752 0.752 0.752
Al1 0.493 0.493 0.493
Zn1 0.007 0.007 0.007
Zn2 0.248 0.248 0.248

Record 9
Here is a relaxed structure of Ni4C3 from the Alexandria database. Energies are from PBE.

Summary:
- energy above the lowest structure with this stoichiometry (meV/atom) = 0
- DFT formation energy (eV per atom) = 0.7267

Lattice parameters (Å, degrees): 4.132 4.132 4.132 90.00 90.00 90.00
Sites, in units of the cell vectors:
Ni1 0.225 0.225 0.775
Ni2 0.775 0.775 0.775
Ni3 0.775 0.225 0.225
Ni4 0.225 0.775 0.225
C1 0.500 0.500 0.000
C2 0.000 0.500 0.500
C3 0.500 0.000 0.500

Record 10
Here is a relaxed structure of LuPu2Hf from the Alexandria database. Energies are from PBE.

Summary:
- energy above the lowest structure with this stoichiometry (meV/atom) = 0
- DFT formation energy (eV per atom) = 0.1692

Lattice parameters (Å, degrees): 3.298 3.298 11.006 81.38 81.38 60.00
Site moments in Bohr magnetons follow the coordinates.
Sites, in units of the cell vectors:
Pu1 0.254 0.254 0.239  -5.35
Pu2 0.746 0.746 0.761  -5.35
Lu1 0.500 0.500 0.500  -0.16
Hf1 0.000 0.000 0.000  0.01

Record 11
Here is a relaxed structure of CsB2P2HO9 from the Alexandria database. Energies are from PBE.

Summary:
- calculated total energy (eV per atom) = -7.078

Lattice parameters (Å, degrees): 6.943 9.124 12.600 90.00 90.00 98.09
Sites, in units of the cell vectors:
O1 0.939 0.725 0.215
O2 0.347 0.481 0.747
O3 0.256 0.134 0.899
O4 0.998 0.013 0.784
O5 0.744 0.866 0.101
O6 0.130 0.997 0.593
O7 0.744 0.366 0.399
O8 0.361 0.391 0.569
O9 0.695 0.837 0.540
O10 0.590 0.096 0.867
O11 0.927 0.643 0.555
O12 0.410 0.904 0.133
O13 0.347 0.981 0.753
O14 0.998 0.513 0.716
O15 0.305 0.163 0.460
O16 0.061 0.775 0.715
O17 0.305 0.663 0.040
O18 0.653 0.019 0.247
O19 0.695 0.337 0.960
O20 0.870 0.003 0.407
O21 0.073 0.357 0.445
O22 0.653 0.519 0.253
O23 0.002 0.487 0.284
O24 0.939 0.225 0.285
O25 0.256 0.634 0.601
O26 0.870 0.503 0.093
O27 0.130 0.497 0.907
O28 0.073 0.857 0.055
O29 0.361 0.891 0.931
O30 0.061 0.275 0.785
O31 0.639 0.109 0.069
O32 0.639 0.609 0.431
O33 0.410 0.404 0.367
O34 0.002 0.987 0.216
O35 0.590 0.596 0.633
O36 0.927 0.143 0.945
H1 0.227 0.098 0.521
H2 0.773 0.402 0.021
H3 0.227 0.598 0.979
H4 0.773 0.902 0.479
Cs1 0.721 0.188 0.618
Cs2 0.721 0.688 0.882
Cs3 0.279 0.312 0.118
Cs4 0.279 0.812 0.382
P1 0.864 0.557 0.205
P2 0.714 0.169 0.960
P3 0.864 0.057 0.295
P4 0.136 0.443 0.795
P5 0.286 0.331 0.460
P6 0.286 0.831 0.040
P7 0.714 0.669 0.540
P8 0.136 0.943 0.705
B1 0.931 0.858 0.145
B2 0.931 0.358 0.355
B3 0.069 0.142 0.855
B4 0.621 0.468 0.365
B5 0.621 0.968 0.135
B6 0.379 0.532 0.635
B7 0.379 0.032 0.865
B8 0.069 0.642 0.645

Record 12
Here is a relaxed structure of MnReSb4 from the Alexandria database. Energies are from PBE.

Summary:
- raw formation energy (meV per atom) = 1317.1

Lattice parameters (Å, degrees): 6.045 6.045 6.045 60.00 60.00 60.00
Site moments in Bohr magnetons follow the coordinates.
Sites, in units of the cell vectors:
Mn1 0.750 0.750 0.750  4.28
Sb1 0.375 0.375 0.375  -0.01
Sb2 0.375 0.375 0.875  -0.01
Sb3 0.875 0.375 0.375  -0.01
Sb4 0.375 0.875 0.375  -0.01
Re1 0.000 0.000 0.000  -2.82

Record 13
Here is a relaxed structure of CaBF4 from the Alexandria database. Energies are from PBE.

Summary:
- raw formation energy (meV per atom) = -2695.2

Lattice parameters (Å, degrees): 6.677 6.677 6.677 102.44 102.44 124.70
Sites, in units of the cell vectors:
F1 0.640 0.505 0.865
F2 0.640 0.775 0.135
F3 0.525 0.890 0.635
F4 0.225 0.360 0.865
F5 0.110 0.475 0.365
F6 0.255 0.890 0.365
F7 0.110 0.745 0.635
F8 0.495 0.360 0.135
Ca1 0.750 0.250 0.500
Ca2 0.000 0.000 0.000
B1 0.250 0.750 0.500
B2 0.500 0.500 0.000

Record 14
Here is a relaxed structure of PaAlCo from the Alexandria database. Energies are from PBE.

Summary:
- energy above the lowest structure with this stoichiometry (meV/atom) = 175
- DFT formation energy (eV per atom) = -0.2913

Lattice parameters (Å, degrees): 4.363 4.363 4.363 60.00 60.00 60.00
Sites, in units of the cell vectors:
Pa1 0.000 0.000 0.000
Al1 0.500 0.500 0.500
Co1 0.250 0.250 0.250

Record 15
Here is a relaxed structure of NbGaFe2 from the Alexandria database. Energies are from PBE.

Summary:
- DFT formation energy (eV per atom) = -0.1831

Lattice parameters (Å, degrees): 3.123 4.091 4.091 90.00 90.00 90.00
Sites, in units of the cell vectors:
Nb1 0.500 0.000 0.000
Fe1 0.000 0.500 0.000
Fe2 0.000 0.000 0.500
Ga1 0.500 0.500 0.500

Record 16
Here is a relaxed structure of CsBa2I2 from the Alexandria database. Energies are from PBE.

Summary:
- raw formation energy (meV per atom) = -919.0
- energy above the lowest structure with this stoichiometry (meV/atom) = 0

Lattice parameters (Å, degrees): 5.548 5.548 9.871 73.68 73.68 90.00
Site moments in Bohr magnetons follow the coordinates.
Sites, in units of the cell vectors:
Ba1 0.250 0.750 0.500  0.35
Ba2 0.750 0.250 0.500  0.35
Cs1 0.000 0.000 0.000  0.02
I1 0.616 0.616 0.767  0.03
I2 0.384 0.384 0.233  0.03

Record 17
Here is a relaxed structure of ZrAsAu from the Alexandria database. Energies are from PBE.

Summary:
- DFT formation energy (eV per atom) = -0.5995

Lattice parameters (Å, degrees): 3.888 3.792 8.049 90.00 90.00 90.00
Sites, in units of the cell vectors:
Zr1 0.000 0.000 0.667
Zr2 0.500 0.000 0.097
As1 0.500 0.000 0.420
As2 0.500 0.500 0.772
Au1 0.000 0.500 0.994
Au2 0.000 0.500 0.348

Record 18
Here is a relaxed structure of Rb3NaNb from the Alexandria database. Energies are from PBE.

Summary:
- energy above the lowest structure with this stoichiometry (meV/atom) = 0
- DFT formation energy (eV per atom) = 1.0358

Lattice parameters (Å, degrees): 7.142 7.142 7.142 90.00 90.00 90.00
Site moments in Bohr magnetons follow the coordinates.
Sites, in units of the cell vectors:
Na1 0.500 0.500 0.500  -0.02
Rb1 0.000 0.000 0.500  0.03
Rb2 0.000 0.500 0.000  0.04
Rb3 0.500 0.000 0.000  0.05
Nb1 0.000 0.000 0.000  3.23

Record 19
Here is a relaxed structure of WSI from the Alexandria database. Energies are from PBE.

Summary:
- raw formation energy (meV per atom) = -14.7

Lattice parameters (Å, degrees): 4.613 3.951 9.865 78.47 89.85 90.00
Sites, in units of the cell vectors:
W1 0.250 0.833 0.067
W2 0.750 0.167 0.933
S1 0.250 0.383 0.925
S2 0.750 0.617 0.075
I1 0.248 0.838 0.335
I2 0.752 0.162 0.665

Record 20
Here is a relaxed structure of PmPuSnRu from the Alexandria database. Energies are from PBE.

Summary:
- DFT formation energy (eV per atom) = -0.1351

Lattice parameters (Å, degrees): 5.142 5.142 5.142 60.00 60.00 60.00
Site moments in Bohr magnetons follow the coordinates.
Sites, in units of the cell vectors:
Pu1 0.000 0.000 0.000  5.25
Sn1 0.250 0.250 0.250  -0.05
Ru1 0.750 0.750 0.750  -0.66
Pm1 0.500 0.500 0.500  0.06

Record 21
Here is a relaxed structure of MnFePt2 from the Alexandria database. Energies are from PBE.

Summary:
- DFT formation energy (eV per atom) = -0.2504

Lattice parameters (Å, degrees): 4.497 2.809 4.633 90.00 90.00 90.00
Site moments in Bohr magnetons follow the coordinates.
Sites, in units of the cell vectors:
Mn1 0.500 0.625 0.826  3.72
Pt1 0.000 0.125 0.924  0.36
Pt2 0.500 0.125 0.323  0.35
Fe1 0.000 0.625 0.427  3.09

Record 22
Here is a relaxed structure of TaInHg2I from the Alexandria database. Energies are from PBE.

Summary:
- raw formation energy (meV per atom) = 1633.7

Lattice parameters (Å, degrees): 5.925 6.246 5.925 90.00 90.00 90.00
Site moments in Bohr magnetons follow the coordinates.
Sites, in units of the cell vectors:
Ta1 0.500 0.500 0.500  2.26
In1 0.000 0.500 0.000  0.03
I1 0.000 0.000 0.000  -0.01
Hg1 0.000 0.000 0.500  0.00
Hg2 0.500 0.000 0.000  0.00

Record 23
Here is a relaxed structure of B2C3 from the Alexandria database. Energies are from PBE.

Summary:
- energy above the lowest structure with this stoichiometry (meV/atom) = 116
- DFT formation energy (eV per atom) = 0.3520

Lattice parameters (Å, degrees): 6.611 6.611 4.073 71.76 71.76 22.49
Sites, in units of the cell vectors:
B1 0.146 0.146 0.500
B2 0.854 0.854 0.500
B3 0.961 0.961 0.702
B4 0.039 0.039 0.298
C1 0.249 0.249 0.112
C2 0.653 0.653 0.749
C3 0.450 0.450 0.949
C4 0.550 0.550 0.051
C5 0.347 0.347 0.251
C6 0.751 0.751 0.888

The evaluated size of the total moment for the records listed, in turn: 0.00; 43.07; 0.00; 1.03; 0.00; 0.00; 4.07; 0.00; 0.00; 11.47; 0.01; 1.27; 0.00; 0.00; 0.00; 2.66; 0.00; 5.09; 0.00; 4.88; 7.68; 3.79; 0.00 μB per cell.